Density functional theory data (PBE) for crystalline Cu2SiSnAs4 at its relaxed geometry.

Structure (extended XYZ):
```
8
Lattice="-2.838 2.838 5.628 2.838 -2.838 5.628 2.838 2.838 -5.628" Properties=species:S:1:pos:R:3 pbc="T T T"
Cu 0.000 0.000 0.000
Cu 0.000 2.838 2.814
Si 0.000 0.000 5.628
Sn 2.838 0.000 2.814
As 4.131 1.286 -1.293
As 1.286 1.545 1.293
As -1.293 1.552 4.336
As 1.552 1.293 6.921
```

## Properties
space group = I-4, No. 82
final energy = -35.54 eV for the cell shown